# Tm2HgH3

A relaxed Tm2HgH3 crystal (PBE-GGA, Alexandria via LeMat-Bulk).

Cell: 12.1136 3.6083 8.2678 Å, 90.00 110.60 90.00°
Space group C2/m (No. 12)
Unique sites:
Tm (0.0208, 0.0000, 0.2181) [4 per cell]
Tm (0.1661, 0.5000, 0.6139) [4 per cell]
Hg (0.1692, 0.5000, 0.0572) [4 per cell]
H (0.0180, 0.5000, 0.3642) [4 per cell]
H (0.0985, 0.0000, 0.6582) [4 per cell]
H (0.1745, 0.0000, 0.4532) [4 per cell]

Spin magnetization   0.0 μB per formula unit
E   -22.79 eV per formula unit

# CaTa

A relaxed CaTa crystal (PBE-GGA, Alexandria via LeMat-Bulk).

Cell: 3.6501 3.6501 3.6501 Å, 90.00 90.00 90.00°
Space group Pm-3m (No. 221)
Unique sites:
Ca (0.0000, 0.0000, 0.0000) [1 per cell]
Ta (0.5000, 0.5000, 0.5000) [1 per cell]

Energy of formation   2.69 eV/f.u.
ΔE to the lowest computed polymorph   987 meV per atom
Spin magnetization   0.0 μB per formula unit
E   -11.17 eV per formula unit

# NaNd2Sn

A relaxed NaNd2Sn crystal (PBE-GGA, Alexandria via LeMat-Bulk).

Cell: 5.1319 5.1319 4.5179 Å, 90.00 90.00 90.00°
Space group P4/mmm (No. 123)
Unique sites:
Na (0.0000, 0.0000, 0.0000) [1 per cell]
Nd (0.0000, 0.5000, 0.5000) [2 per cell]
Sn (0.5000, 0.5000, 0.0000) [1 per cell]

Energy of formation   -1.27 eV/f.u.
Spin magnetization   0.0 μB per formula unit
E   -16.13 eV per formula unit

# PrNd2TlC

A relaxed PrNd2TlC crystal (PBE-GGA, Alexandria via LeMat-Bulk).

Cell: 5.1343 5.1343 5.1739 Å, 90.00 90.00 90.00°
Space group P4/mmm (No. 123)
Unique sites:
Pr (0.0000, 0.0000, 0.0000) [1 per cell]
Nd (0.0000, 0.5000, 0.5000) [2 per cell]
Tl (0.5000, 0.5000, 0.0000) [1 per cell]
C (0.0000, 0.0000, 0.5000) [1 per cell]

Energy of formation   -1.35 eV/f.u.
Spin magnetization   0.0 μB per formula unit
E   -27.26 eV per formula unit

# Hf4TcRu2

A relaxed Hf4TcRu2 crystal (PBE-GGA, Alexandria via LeMat-Bulk).

Cell: 6.4630 6.4630 6.4132 Å, 90.00 90.00 90.00°
Space group I4/mmm (No. 139)
Unique sites:
Hf (0.2500, 0.2500, 0.2500) [8 per cell]
Tc (0.0000, 0.0000, 0.0000) [2 per cell]
Ru (0.0000, 0.5000, 0.0000) [4 per cell]

Energy of formation   -3.25 eV/f.u.
ΔE to the lowest computed polymorph   0 meV per atom
Spin magnetization   0.0 μB per formula unit
E   -71.98 eV per formula unit

# Zn2RuPb

A relaxed Zn2RuPb crystal (PBE-GGA, Alexandria via LeMat-Bulk).

Cell: 4.0698 4.0698 4.1087 Å, 90.00 90.00 90.00°
Space group P4/mmm (No. 123)
Unique sites:
Zn (0.0000, 0.5000, 0.0000) [2 per cell]
Ru (0.0000, 0.0000, 0.5000) [1 per cell]
Pb (0.5000, 0.5000, 0.5000) [1 per cell]

Energy of formation   1.33 eV/f.u.
Spin magnetization   0.0 μB per formula unit
E   -14.20 eV per formula unit